First-principles (PBEsol) data for a relaxed AlInI4 crystal, as listed in the Alexandria database.

Properties
ΔE_f (raw) = -0.5674 eV per atom

```
data_AlInI4
_chemical_formula_sum 'Al4 In4 I16'
_cell_length_a 7.0444
_cell_length_b 11.4943
_cell_length_c 12.0266
_cell_angle_alpha 90.00
_cell_angle_beta 96.36
_cell_angle_gamma 90.00
_space_group_name_H-M_alt 'P 1 21/m 1'
_space_group_IT_number 11
loop_
_space_group_symop_operation_xyz
'x,y,z'
'-x,-y,-z'
'-x,y+1/2,-z'
'x,-y+1/2,z'
loop_
_atom_site_label
_atom_site_type_symbol
_atom_site_fract_x
_atom_site_fract_y
_atom_site_fract_z
Al1 Al 0.0759 0.2500 0.0328
Al2 Al 0.2784 0.2500 0.5571
In1 In 0.0896 0.0191 0.3038
I1 I 0.0852 0.7500 0.4878
I2 I 0.0872 0.7500 0.1676
I3 I 0.1712 0.7500 0.8259
I4 I 0.2782 0.0673 0.0641
I5 I 0.3898 0.0657 0.6609
I6 I 0.3979 0.2500 0.3628
```



First-principles (PBEsol) data for a relaxed Cd2AgCl crystal, as listed in the Alexandria database.

Properties
ΔE_f (raw) = -0.1324 eV per atom
E above lowest polymorph = 125 meV per atom

```
data_Cd2AgCl
_chemical_formula_sum 'Cd2 Ag1 Cl1'
_cell_length_a 3.1687
_cell_length_b 3.1687
_cell_length_c 7.9106
_cell_angle_alpha 90.00
_cell_angle_beta 90.00
_cell_angle_gamma 90.00
_space_group_name_H-M_alt 'P 4 m m'
_space_group_IT_number 99
loop_
_space_group_symop_operation_xyz
'x,y,z'
'-y,x,z'
'-x,-y,z'
'y,-x,z'
'-x,y,z'
'y,x,z'
'x,-y,z'
'-y,-x,z'
loop_
_atom_site_label
_atom_site_type_symbol
_atom_site_fract_x
_atom_site_fract_y
_atom_site_fract_z
Cd1 Cd 0.0000 0.0000 0.0000
Cd2 Cd 0.5000 0.5000 0.2706
Ag1 Ag 0.5000 0.5000 0.7684
Cl1 Cl 0.0000 0.0000 0.5253
```



First-principles (PBEsol) data for a relaxed AlGa3Ru crystal, as listed in the Alexandria database.

Properties
E_form = 180 meV/atom

```
data_AlGa3Ru
_chemical_formula_sum 'Al1 Ga3 Ru1'
_cell_length_a 4.7307
_cell_length_b 4.7307
_cell_length_c 4.7307
_cell_angle_alpha 90.00
_cell_angle_beta 90.00
_cell_angle_gamma 90.00
_space_group_name_H-M_alt 'P m -3 m'
_space_group_IT_number 221
_space_group_name_Hall '-P 4 2 3'
loop_
_atom_site_label
_atom_site_type_symbol
_atom_site_fract_x
_atom_site_fract_y
_atom_site_fract_z
Al1 Al 0.0000 0.0000 0.0000
Ga1 Ga 0.0000 0.5000 0.5000
Ru1 Ru 0.5000 0.5000 0.5000
```



First-principles (PBEsol) data for a relaxed AsIr2 crystal, as listed in the Alexandria database.

Properties
E_form = 270 meV/atom

```
data_AsIr2
_chemical_formula_sum 'As2 Ir4'
_cell_length_a 2.8793
_cell_length_b 2.8793
_cell_length_c 10.4448
_cell_angle_alpha 90.00
_cell_angle_beta 90.00
_cell_angle_gamma 90.00
_space_group_name_H-M_alt 'I 4/m m m'
_space_group_IT_number 139
_space_group_name_Hall '-I 4 2'
loop_
_atom_site_label
_atom_site_type_symbol
_atom_site_fract_x
_atom_site_fract_y
_atom_site_fract_z
As1 As 0.0000 0.0000 0.0000
Ir1 Ir 0.0000 0.0000 0.3441
```



First-principles (PBEsol) data for a relaxed Bi crystal, as listed in the Alexandria database.

Properties
E above lowest polymorph = 36 meV per atom
E_form = 36 meV/atom

```
data_Bi
_chemical_formula_sum 'Bi16'
_cell_length_a 11.3334
_cell_length_b 6.6620
_cell_length_c 6.5389
_cell_angle_alpha 90.00
_cell_angle_beta 90.00
_cell_angle_gamma 90.00
_space_group_name_H-M_alt 'C m c e'
_space_group_IT_number 64
_space_group_name_Hall '-C 2ac 2'
loop_
_atom_site_label
_atom_site_type_symbol
_atom_site_fract_x
_atom_site_fract_y
_atom_site_fract_z
Bi1 Bi 0.0000 0.1826 0.1650
Bi2 Bi 0.2068 0.0000 0.5000
```



First-principles (PBEsol) data for a relaxed MnZnNF2 crystal, as listed in the Alexandria database.

Properties
ΔE_f (raw) = -0.7931 eV per atom

```
data_MnZnNF2
_chemical_formula_sum 'Mn1 Zn1 N1 F2'
_cell_length_a 3.8433
_cell_length_b 3.8433
_cell_length_c 3.8573
_cell_angle_alpha 90.00
_cell_angle_beta 90.00
_cell_angle_gamma 90.00
_space_group_name_H-M_alt 'P 4/m m m'
_space_group_IT_number 123
_space_group_name_Hall '-P 4 2'
loop_
_atom_site_label
_atom_site_type_symbol
_atom_site_fract_x
_atom_site_fract_y
_atom_site_fract_z
Mn1 Mn 0.0000 0.0000 0.0000
Zn1 Zn 0.5000 0.5000 0.5000
N1 N 0.0000 0.0000 0.5000
F1 F 0.0000 0.5000 0.0000
```



First-principles (PBEsol) data for a relaxed LaCdSbTe2 crystal, as listed in the Alexandria database.

Properties
ΔE_f (raw) = -0.1444 eV per atom

```
data_LaCdSbTe2
_chemical_formula_sum 'La1 Cd1 Sb1 Te2'
_cell_length_a 5.4997
_cell_length_b 5.4997
_cell_length_c 5.3404
_cell_angle_alpha 90.00
_cell_angle_beta 90.00
_cell_angle_gamma 90.00
_space_group_name_H-M_alt 'P 4/m m m'
_space_group_IT_number 123
_space_group_name_Hall '-P 4 2'
loop_
_atom_site_label
_atom_site_type_symbol
_atom_site_fract_x
_atom_site_fract_y
_atom_site_fract_z
La1 La 0.0000 0.0000 0.0000
Cd1 Cd 0.5000 0.5000 0.5000
Sb1 Sb 0.5000 0.5000 0.0000
Te1 Te 0.0000 0.5000 0.5000
```



First-principles (PBEsol) data for a relaxed Y2ZnB crystal, as listed in the Alexandria database.

Properties
E_form = -16 meV/atom

```
data_Y2ZnB
_chemical_formula_sum 'Y8 Zn4 B4'
_cell_length_a 6.6903
_cell_length_b 6.6903
_cell_length_c 6.6903
_cell_angle_alpha 90.00
_cell_angle_beta 90.00
_cell_angle_gamma 90.00
_space_group_name_H-M_alt 'F m -3 m'
_space_group_IT_number 225
_space_group_name_Hall '-F 4 2 3'
loop_
_atom_site_label
_atom_site_type_symbol
_atom_site_fract_x
_atom_site_fract_y
_atom_site_fract_z
Y1 Y 0.2500 0.2500 0.2500
Zn1 Zn 0.0000 0.0000 0.0000
B1 B 0.0000 0.0000 0.5000
```



First-principles (PBEsol) data for a relaxed CuRh3 crystal, as listed in the Alexandria database.

Properties
E_form = 125 meV/atom

```
data_CuRh3
_chemical_formula_sum 'Cu2 Rh6'
_cell_length_a 5.2995
_cell_length_b 5.2995
_cell_length_c 4.3091
_cell_angle_alpha 90.00
_cell_angle_beta 90.00
_cell_angle_gamma 120.00
_space_group_name_H-M_alt 'P 63/m m c'
_space_group_IT_number 194
_space_group_name_Hall '-P 6c 2c'
loop_
_atom_site_label
_atom_site_type_symbol
_atom_site_fract_x
_atom_site_fract_y
_atom_site_fract_z
Cu1 Cu 0.3333 0.6667 0.2500
Rh1 Rh 0.1696 0.3391 0.7500
```



First-principles (PBEsol) data for a relaxed Zr2FeNi crystal, as listed in the Alexandria database.

Properties
E above lowest polymorph = 0 meV per atom
E_form = -297 meV/atom

```
data_Zr2FeNi
_chemical_formula_sum 'Zr2 Fe1 Ni1'
_cell_length_a 3.2180
_cell_length_b 4.1380
_cell_length_c 5.0133
_cell_angle_alpha 90.00
_cell_angle_beta 108.51
_cell_angle_gamma 90.00
_space_group_name_H-M_alt 'P 1 m 1'
_space_group_IT_number 6
loop_
_space_group_symop_operation_xyz
'x,y,z'
'x,-y,z'
loop_
_atom_site_label
_atom_site_type_symbol
_atom_site_fract_x
_atom_site_fract_y
_atom_site_fract_z
Zr1 Zr 0.0000 0.0000 0.0000
Zr2 Zr 0.2815 0.5000 0.5664
Fe1 Fe 0.5545 0.5000 0.1084
Ni1 Ni 0.7196 0.0000 0.4428
```



First-principles (PBEsol) data for a relaxed TlFeTc2 crystal, as listed in the Alexandria database.

Properties
E above lowest polymorph = 88 meV per atom
E_form = 500 meV/atom

```
data_TlFeTc2
_chemical_formula_sum 'Tl2 Fe2 Tc4'
_cell_length_a 9.0917
_cell_length_b 2.8640
_cell_length_c 4.7387
_cell_angle_alpha 90.00
_cell_angle_beta 102.82
_cell_angle_gamma 90.00
_space_group_name_H-M_alt 'C 1 2/m 1'
_space_group_IT_number 12
loop_
_space_group_symop_operation_xyz
'x,y,z'
'-x,-y,-z'
'-x,y,-z'
'x,-y,z'
'x+1/2,y+1/2,z'
'-x+1/2,-y+1/2,-z'
'-x+1/2,y+1/2,-z'
'x+1/2,-y+1/2,z'
loop_
_atom_site_label
_atom_site_type_symbol
_atom_site_fract_x
_atom_site_fract_y
_atom_site_fract_z
Tl1 Tl 0.0000 0.0000 0.0000
Fe1 Fe 0.0000 0.5000 0.5000
Tc1 Tc 0.2341 0.0000 0.7093
```



First-principles (PBEsol) data for a relaxed Zr2Si4Ru3 crystal, as listed in the Alexandria database.

Properties
ΔE_f (raw) = -0.9365 eV per atom

```
data_Zr2Si4Ru3
_chemical_formula_sum 'Zr16 Si32 Ru24'
_cell_length_a 18.8624
_cell_length_b 5.3254
_cell_length_c 13.2295
_cell_angle_alpha 90.00
_cell_angle_beta 127.70
_cell_angle_gamma 90.00
_space_group_name_H-M_alt 'C 1 2/c 1'
_space_group_IT_number 15
loop_
_space_group_symop_operation_xyz
'x,y,z'
'-x,-y,-z'
'-x,y,-z+1/2'
'x,-y,z+1/2'
'x+1/2,y+1/2,z'
'-x+1/2,-y+1/2,-z'
'-x+1/2,y+1/2,-z+1/2'
'x+1/2,-y+1/2,z+1/2'
loop_
_atom_site_label
_atom_site_type_symbol
_atom_site_fract_x
_atom_site_fract_y
_atom_site_fract_z
Zr1 Zr 0.0732 0.1270 0.1478
Zr2 Zr 0.1662 0.3734 0.8623
Si1 Si 0.0000 0.1200 0.7500
Si2 Si 0.0000 0.3692 0.2500
Si3 Si 0.1129 0.3583 0.6051
Si4 Si 0.1703 0.2431 0.0645
Si5 Si 0.2347 0.1234 0.3956
Ru1 Ru 0.0214 0.3898 0.9150
Ru2 Ru 0.1232 0.1401 0.4348
Ru3 Ru 0.2384 0.0896 0.7211
```